Computed, not measured: a geometry-optimized InTeO3 structure at the PBE level of DFT.

Unit cell a=4.1344 b=4.1344 c=4.1344 alpha=90.00 beta=90.00 gamma=90.00
Closest atoms and distances in Å follow each position.
Space group Pm-3m (No. 221)
Symmetry-distinct sites (fractional):
In 0.0000 0.0000 0.0000 (multiplicity 1)  6 O 2.07
Te 0.5000 0.5000 0.5000 (multiplicity 1)  12 O 2.92
O 0.0000 0.0000 0.5000 (multiplicity 3)  2 In 2.07

Output
Raw total energy = -4.54 eV/atom
ΔE_f (raw) = -387.1 meV per atom
Size of the total moment = 0.0 μB per cell

***

Computed, not measured: a geometry-optimized YMn6Ge6 structure at the PBE level of DFT.

Unit cell a=5.1711 b=5.1711 c=8.1658 alpha=90.00 beta=90.00 gamma=120.00
Closest atoms and distances in Å follow each position.
Space group P6/mmm (No. 191)
Symmetry-distinct sites (fractional):
Y 0.0000 0.0000 0.0000 (multiplicity 1)  8 Ge 2.81-2.99
Mn 0.0000 0.5000 0.2510 (multiplicity 6)  6 Ge 2.52-2.70, 4 Mn 2.59
Ge 0.0000 0.0000 0.3446 (multiplicity 2)  1 Ge 2.54, 6 Mn 2.70, 1 Y 2.81
Ge 0.3333 0.6667 0.0000 (multiplicity 2)  6 Mn 2.54
Ge 0.3333 0.6667 0.5000 (multiplicity 2)  6 Mn 2.52

Output
Formation energy = -313 meV per atom
Energy above the most stable polymorph in this dataset = 0.0 kJ/mol of formula units
Raw total energy = -7.17 eV/atom
Size of the total moment = 11.8 μB per cell

***

Computed, not measured: a geometry-optimized CaPaCuIr structure at the PBE level of DFT.

Unit cell a=6.8920 b=6.8920 c=6.8920 alpha=90.00 beta=90.00 gamma=90.00
Closest atoms and distances in Å follow each position.
Space group F-43m (No. 216)
Symmetry-distinct sites (fractional):
Ca 0.0000 0.0000 0.0000 (multiplicity 4)  4 Cu 2.98, 4 Ir 2.98
Pa 0.0000 0.0000 0.5000 (multiplicity 4)  4 Ir 2.98, 4 Cu 2.98
Cu 0.2500 0.2500 0.7500 (multiplicity 4)  4 Pa 2.98, 4 Ca 2.98
Ir 0.2500 0.2500 0.2500 (multiplicity 4)  4 Pa 2.98, 4 Ca 2.98

Output
Formation energy = -232 meV per atom
Raw total energy = -6.35 eV/atom
Size of the total moment = 0.0 μB per cell

***

Computed, not measured: a geometry-optimized AgSI2 structure at the PBE level of DFT.

Unit cell a=7.4481 b=7.4481 c=7.4481 alpha=90.00 beta=90.00 gamma=90.00
Closest atoms and distances in Å follow each position.
Space group Fm-3m (No. 225)
Symmetry-distinct sites (fractional):
Ag 0.0000 0.0000 0.0000 (multiplicity 4)  8 I 3.23
S 0.0000 0.0000 0.5000 (multiplicity 4)  8 I 3.23
I 0.2500 0.2500 0.2500 (multiplicity 8)  4 S 3.23, 4 Ag 3.23

Output
Energy above the most stable polymorph in this dataset = 264.2 kJ/mol of formula units
Raw total energy = -1.86 eV/atom
ΔE_f (raw) = 658.1 meV per atom
Size of the total moment = 0.0 μB per cell

***

Computed, not measured: a geometry-optimized CaSb2TeRu structure at the PBE level of DFT.

Unit cell a=5.6646 b=5.6646 c=5.5944 alpha=90.00 beta=90.00 gamma=90.00
Closest atoms and distances in Å follow each position.
Space group P4/mmm (No. 123)
Symmetry-distinct sites (fractional):
Ca 0.0000 0.0000 0.0000 (multiplicity 1)  2 Te 2.80, 4 Sb 2.83
Sb 0.0000 0.5000 0.0000 (multiplicity 2)  2 Ca 2.83
Te 0.0000 0.0000 0.5000 (multiplicity 1)  2 Ca 2.80
Ru 0.5000 0.5000 0.5000 (multiplicity 1)  8 Sb 3.98, 4 Te 4.01

Output
Energy above the most stable polymorph in this dataset = 665.6 kJ/mol of formula units
Raw total energy = -3.26 eV/atom
ΔE_f (raw) = 1274.8 meV per atom
Size of the total moment = 2.6 μB per cell

***

Computed, not measured: a geometry-optimized PrTmMgCu structure at the PBE level of DFT.

Unit cell a=7.3573 b=7.3573 c=7.3573 alpha=90.00 beta=90.00 gamma=90.00
Closest atoms and distances in Å follow each position.
Space group F-43m (No. 216)
Symmetry-distinct sites (fractional):
Pr 0.0000 0.0000 0.0000 (multiplicity 4)  4 Cu 3.19, 4 Mg 3.19
Tm 0.0000 0.0000 0.5000 (multiplicity 4)  4 Mg 3.19, 4 Cu 3.19
Mg 0.2500 0.2500 0.2500 (multiplicity 4)  4 Pr 3.19, 4 Tm 3.19
Cu 0.2500 0.2500 0.7500 (multiplicity 4)  4 Pr 3.19, 4 Tm 3.19

Output
Formation energy = -41 meV per atom
Raw total energy = -3.78 eV/atom
Size of the total moment = 0.0 μB per cell

***

Computed, not measured: a geometry-optimized Mg2BiF structure at the PBE level of DFT.

Unit cell a=5.4875 b=5.4875 c=12.2045 alpha=90.00 beta=90.00 gamma=90.00
Closest atoms and distances in Å follow each position.
Space group I-42d (No. 122)
Symmetry-distinct sites (fractional):
Mg 0.1234 0.2500 0.1250 (multiplicity 8)  2 F 2.16
Bi 0.0000 0.0000 0.5000 (multiplicity 4)  4 Mg 2.91
F 0.0000 0.0000 0.0000 (multiplicity 4)  4 Mg 2.16

Output
Energy above the most stable polymorph in this dataset = 70.0 kJ/mol of formula units
Raw total energy = -3.40 eV/atom
ΔE_f (raw) = -1166.4 meV per atom
Size of the total moment = 0.0 μB per cell

***

Computed, not measured: a geometry-optimized CuSnIr structure at the PBE level of DFT.

Unit cell a=8.6593 b=4.1698 c=6.1380 alpha=90.00 beta=90.00 gamma=90.00
Closest atoms and distances in Å follow each position.
Space group Pnma (No. 62)
Symmetry-distinct sites (fractional):
Cu 0.1307 0.2500 0.2286 (multiplicity 4)  4 Ir 2.64-2.70, 3 Sn 2.77-2.92
Sn 0.1357 0.2500 0.7781 (multiplicity 4)  4 Ir 2.62-2.74, 3 Cu 2.77-2.92
Ir 0.1088 0.7500 0.5058 (multiplicity 4)  4 Sn 2.62-2.74, 4 Cu 2.64-2.70, 2 Ir 2.81

Output
Formation energy = -13 meV per atom
Energy above the most stable polymorph in this dataset = 0.0 kJ/mol of formula units
Raw total energy = -5.67 eV/atom
Size of the total moment = 0.0 μB per cell